--- w ---
Pm2PrAu after structural relaxation. Source: the Alexandria database, functional PBE.

Properties
V	31.95	Å³/atom

a b c (Å): 3.775 3.775 10.581
angles (deg): 79.72 79.72 60.00
Fractional coordinates of all 4 atoms:
Pm: 0.264 0.264 0.208
Pm: 0.736 0.736 0.792
Au: 0.000 0.000 0.000
Pr: 0.500 0.500 0.500


--- x ---
Pm2PrAu after structural relaxation. Source: the Alexandria database, functional PBE.

Properties
V	30.37	Å³/atom

a b c (Å): 3.845 6.574 10.048
angles (deg): 90.00 90.00 106.95
Fractional coordinates of all 8 atoms:
Pm: 0.135 0.270 0.450
Pm: 0.865 0.730 0.550
Pm: 0.135 0.270 0.050
Pm: 0.865 0.730 0.950
Pr: 0.562 0.124 0.750
Pr: 0.438 0.876 0.250
Au: 0.264 0.529 0.750
Au: 0.736 0.471 0.250


--- y ---
Pm2PrAu after structural relaxation. Source: the Alexandria database, functional PBE.

Properties
V	31.19	Å³/atom

a b c (Å): 6.770 7.172 10.277
angles (deg): 90.00 90.00 90.00
Fractional coordinates of all 16 atoms:
Pm: 0.825 0.309 0.553
Pm: 0.175 0.691 0.053
Pm: 0.825 0.309 0.947
Pm: 0.325 0.191 0.053
Pm: 0.675 0.809 0.553
Pm: 0.675 0.809 0.947
Pm: 0.325 0.191 0.447
Pm: 0.175 0.691 0.447
Pr: 0.367 0.490 0.750
Pr: 0.633 0.510 0.250
Pr: 0.867 0.010 0.250
Pr: 0.133 0.990 0.750
Au: 0.428 0.895 0.250
Au: 0.572 0.105 0.750
Au: 0.928 0.605 0.750
Au: 0.072 0.395 0.250


--- z ---
Pm2PrAu after structural relaxation. Source: the Alexandria database, functional PBE.

Properties
V	28.80	Å³/atom

a b c (Å): 4.867 4.865 4.865
angles (deg): 90.00 90.00 90.00
Fractional coordinates of all 4 atoms:
Pr: 0.500 0.000 0.000
Au: 0.500 0.500 0.500
Pm: 0.000 0.000 0.500
Pm: 0.000 0.500 0.000


How do the structures above rank in stability at the extremes? x comes first and z comes last.